Arrangement a

Below is Mg2ZnAs2 after structural relaxation, with properties calculated at the GGA-PBE level.

Values from the calculation:
N(E_F)   1.79 states/eV/f.u.
Space group   P4/mbm (127)

a b c (Å): 8.0885 8.0885 3.0621
angles (deg): 90.00 90.00 90.00
Fractional coordinates of all 10 atoms:
Mg (0.1423, 0.3577, 0.0000)
Mg (0.3577, 0.8577, 0.0000)
Mg (0.6423, 0.1423, 0.0000)
Mg (0.8577, 0.6423, 0.0000)
Zn (0.0000, 0.0000, 0.0000)
Zn (0.5000, 0.5000, 0.0000)
As (0.1562, 0.6562, 0.5000)
As (0.3438, 0.1562, 0.5000)
As (0.6562, 0.8438, 0.5000)
As (0.8438, 0.3438, 0.5000)

---

Arrangement b

Below is Mg2ZnAs2 after structural relaxation, with properties calculated at the GGA-PBE level.

Values from the calculation:
N(E_F)   0.40 states/eV/f.u.
Space group   P-3m1 (164)

a b c (Å): 4.2946 4.2946 6.5706
angles (deg): 90.00 90.00 120.00
Fractional coordinates of all 5 atoms:
Mg (0.3333, 0.6667, 0.1482)
Mg (0.6667, 0.3333, 0.8518)
Zn (0.0000, 0.0000, 0.5000)
As (0.3333, 0.6667, 0.7224)
As (0.6667, 0.3333, 0.2776)

---

Name the most stable of them. arrangement b.

---

Arrangement a

Below is Mg2ZnAs2 after structural relaxation, with properties calculated at the GGA-PBE level.

Values from the calculation:
N(E_F)   1.97 states/eV/f.u.
Space group   P4/mbm (127)

a b c (Å): 7.9720 7.9720 3.1036
angles (deg): 90.00 90.00 90.00
Fractional coordinates of all 10 atoms:
Mg (0.1416, 0.3584, 0.0000)
Mg (0.3584, 0.8584, 0.0000)
Mg (0.6416, 0.1416, 0.0000)
Mg (0.8584, 0.6416, 0.0000)
Zn (0.0000, 0.0000, 0.5000)
Zn (0.5000, 0.5000, 0.5000)
As (0.1589, 0.6589, 0.5000)
As (0.3411, 0.1589, 0.5000)
As (0.6589, 0.8411, 0.5000)
As (0.8411, 0.3411, 0.5000)

---

Arrangement b

Below is Mg2ZnAs2 after structural relaxation, with properties calculated at the GGA-PBE level.

Values from the calculation:
N(E_F)   0.11 states/eV/f.u.
Space group   I4/mmm (139)

a b c (Å): 4.8215 4.8215 9.7428
angles (deg): 90.00 90.00 90.00
Fractional coordinates of all 10 atoms:
Mg (0.0000, 0.5000, 0.2500)
Mg (0.0000, 0.5000, 0.7500)
Mg (0.5000, 0.0000, 0.2500)
Mg (0.5000, 0.0000, 0.7500)
Zn (0.0000, 0.0000, 0.0000)
Zn (0.5000, 0.5000, 0.5000)
As (0.0000, 0.0000, 0.3745)
As (0.0000, 0.0000, 0.6255)
As (0.5000, 0.5000, 0.1255)
As (0.5000, 0.5000, 0.8745)

---

Arrangement c

Below is Mg2ZnAs2 after structural relaxation, with properties calculated at the GGA-PBE level.

Values from the calculation:
Space group   P3m1 (156)

a b c (Å): 4.1840 4.1840 6.7789
angles (deg): 90.00 90.00 120.00
Fractional coordinates of all 5 atoms:
Mg (0.0000, 0.0000, 0.0000)
Mg (0.3333, 0.6667, 0.6368)
Zn (0.6667, 0.3333, 0.2624)
As (0.0000, 0.0000, 0.3942)
As (0.6667, 0.3333, 0.8586)

---

Name the most stable of them. arrangement c.

---

Arrangement a

Below is MgZr2As after structural relaxation, with properties calculated at the GGA-PBE level.

Values from the calculation:
N(E_F)   3.13 states/eV/f.u.
Space group   Cm (8)

a b c (Å): 10.9158 3.5109 4.7459
angles (deg): 90.00 115.61 90.00
Fractional coordinates of all 8 atoms:
Mg (0.0000, 0.0000, 0.0000)
Mg (0.5000, 0.5000, 0.0000)
Zr (0.0535, 0.5000, 0.5544)
Zr (0.2811, 0.5000, 0.2544)
Zr (0.5535, 0.0000, 0.5544)
Zr (0.7811, 0.0000, 0.2544)
As (0.2753, 0.0000, 0.7370)
As (0.7753, 0.5000, 0.7370)

---

Arrangement b

Below is MgZr2As after structural relaxation, with properties calculated at the GGA-PBE level.

Values from the calculation:
N(E_F)   3.17 states/eV/f.u.
Space group   R-3m (166)

a b c (Å): 3.6719 3.6719 23.2001
angles (deg): 90.00 90.00 120.00
Fractional coordinates of all 12 atoms:
Mg (0.0000, 0.0000, 0.0000)
Mg (0.3333, 0.6667, 0.6667)
Mg (0.6667, 0.3333, 0.3333)
Zr (0.0000, 0.0000, 0.2357)
Zr (0.0000, 0.0000, 0.7643)
Zr (0.3333, 0.6667, 0.4309)
Zr (0.3333, 0.6667, 0.9024)
Zr (0.6667, 0.3333, 0.0976)
Zr (0.6667, 0.3333, 0.5691)
As (0.0000, 0.0000, 0.5000)
As (0.3333, 0.6667, 0.1667)
As (0.6667, 0.3333, 0.8333)

---

Arrangement c

Below is MgZr2As after structural relaxation, with properties calculated at the GGA-PBE level.

Values from the calculation:
N(E_F)   3.97 states/eV/f.u.
Space group   P4/mmm (123)

a b c (Å): 4.3311 4.3311 4.2378
angles (deg): 90.00 90.00 90.00
Fractional coordinates of all 4 atoms:
Mg (0.0000, 0.0000, 0.0000)
Zr (0.0000, 0.5000, 0.5000)
Zr (0.5000, 0.0000, 0.5000)
As (0.5000, 0.5000, 0.0000)

---

Name the most stable of them. arrangement b.

---

Arrangement a

Below is MgZr2As after structural relaxation, with properties calculated at the GGA-PBE level.

Values from the calculation:
N(E_F)   5.07 states/eV/f.u.
Space group   P4mm (99)

a b c (Å): 3.7312 3.7312 5.9963
angles (deg): 90.00 90.00 90.00
Fractional coordinates of all 4 atoms:
Mg (0.0000, 0.0000, 0.0000)
Zr (0.0000, 0.0000, 0.5137)
Zr (0.5000, 0.5000, 0.2552)
As (0.5000, 0.5000, 0.7372)

---

Arrangement b

Below is MgZr2As after structural relaxation, with properties calculated at the GGA-PBE level.

Values from the calculation:
N(E_F)   4.82 states/eV/f.u.
Space group   R3m (160)

a b c (Å): 3.6798 3.6798 23.9232
angles (deg): 90.00 90.00 120.00
Fractional coordinates of all 12 atoms:
Mg (0.0000, 0.0000, 0.0000)
Mg (0.3333, 0.6667, 0.6667)
Mg (0.6667, 0.3333, 0.3333)
Zr (0.0000, 0.0000, 0.2319)
Zr (0.0000, 0.0000, 0.4346)
Zr (0.3333, 0.6667, 0.1012)
Zr (0.3333, 0.6667, 0.8986)
Zr (0.6667, 0.3333, 0.5652)
Zr (0.6667, 0.3333, 0.7679)
As (0.0000, 0.0000, 0.8328)
As (0.3333, 0.6667, 0.4994)
As (0.6667, 0.3333, 0.1661)

---

Arrangement c

Below is MgZr2As after structural relaxation, with properties calculated at the GGA-PBE level.

Values from the calculation:
N(E_F)   3.45 states/eV/f.u.
Space group   C2/m (12)

a b c (Å): 6.0098 7.8395 3.3962
angles (deg): 90.00 90.16 90.00
Fractional coordinates of all 8 atoms:
Mg (0.0000, 0.0000, 0.0000)
Mg (0.5000, 0.5000, 0.0000)
Zr (0.2500, 0.2500, 0.5000)
Zr (0.2500, 0.7500, 0.5000)
Zr (0.7500, 0.2500, 0.5000)
Zr (0.7500, 0.7500, 0.5000)
As (0.0000, 0.5000, 0.0000)
As (0.5000, 0.0000, 0.0000)

---

Name the most stable of them. arrangement b.